# 1
Compound: PmY3Er3Se8
Source: the Alexandria database
Functional: PBE-GGA
Structure: relaxed

D(E_F)   6.0 states/eV/f.u.
E_form (uncorrected)   -1.819 eV/atom
Space-group type   No. 166

Cell lengths 8.111, 8.111, 8.111 Å; angles 59.99, 59.99, 59.99 degrees
Element x y z (fractional)
Pm (0.000, 0.000, 0.000)
Y (0.000, 0.000, 0.500)
Y (0.000, 0.500, 0.000)
Y (0.500, 0.000, 0.000)
Er (0.000, 0.500, 0.500)
Er (0.500, 0.000, 0.500)
Er (0.500, 0.500, 0.000)
Se (0.251, 0.251, 0.251)
Se (0.259, 0.259, 0.738)
Se (0.259, 0.738, 0.259)
Se (0.262, 0.741, 0.741)
Se (0.738, 0.259, 0.259)
Se (0.741, 0.262, 0.741)
Se (0.741, 0.741, 0.262)
Se (0.749, 0.749, 0.749)

# 2
Compound: Pm2ErSi
Source: the Alexandria database
Functional: PBE-GGA
Structure: relaxed

D(E_F)   3.9 states/eV/f.u.
E_form (uncorrected)   -0.231 eV/atom
Energy above the most stable polymorph in this dataset   0.070 eV per formula unit
Space-group type   No. 123

Cell lengths 4.046, 4.046, 6.629 Å; angles 90.00, 90.00, 90.00 degrees
Element x y z (fractional)
Pm (0.000, 0.000, 0.219)
Pm (0.000, 0.000, 0.781)
Er (0.500, 0.500, 0.500)
Si (0.500, 0.500, 0.000)